(P)
An optimized crystal structure of Hf3PtW. Source: Alexandria via LeMat-Bulk, functional PBE-GGA.

Output
Fermi-level density of states ... 1.28 states/eV/atom
Magnetic moment ... 0.170 μB per atom
SG ... Pm-3m (221)

The structure in POSCAR format:
```
Hf3PtW
1.0
4.9542 0.0000 0.0000
0.0000 4.9542 0.0000
0.0000 0.0000 4.9542
Hf Pt W
3 1 1
direct
0.0000 0.0000 0.5000
0.0000 0.5000 0.0000
0.5000 0.0000 0.0000
0.0000 0.0000 0.0000
0.5000 0.5000 0.5000
```


(Q)
An optimized crystal structure of Hf3PtW. Source: Alexandria via LeMat-Bulk, functional PBE-GGA.

Output
Fermi-level density of states ... 1.39 states/eV/atom
Magnetic moment ... 0.000 μB per atom
SG ... Pm-3m (221)

The structure in POSCAR format:
```
Hf3PtW
1.0
4.9664 0.0000 0.0000
0.0000 4.9664 0.0000
0.0000 0.0000 4.9664
Hf Pt W
3 1 1
direct
0.0000 0.0000 0.5000
0.0000 0.5000 0.0000
0.5000 0.0000 0.0000
0.5000 0.5000 0.5000
0.0000 0.0000 0.0000
```


Short version: (P) is the most stable of them.


(P)
An optimized crystal structure of Y2HfPt. Source: Alexandria via LeMat-Bulk, functional PBE-GGA.

Output
Fermi-level density of states ... 0.87 states/eV/atom
Magnetic moment ... 0.000 μB per atom
SG ... I-42d (122)

The structure in POSCAR format:
```
Y2HfPt
1.0
-4.1740 4.1740 2.9886
4.1740 -4.1740 2.9886
4.1740 4.1740 -2.9886
Y Hf Pt
4 2 2
direct
0.0679 0.6250 0.9429
0.3750 0.3179 0.4429
0.6821 0.1250 0.0571
0.8750 0.9321 0.5571
0.2500 0.7500 0.5000
0.5000 0.5000 0.0000
0.0000 0.0000 0.0000
0.7500 0.2500 0.5000
```


(Q)
An optimized crystal structure of Y2HfPt. Source: Alexandria via LeMat-Bulk, functional PBE-GGA.

Output
Fermi-level density of states ... 1.46 states/eV/atom
Magnetic moment ... 0.501 μB per atom
SG ... Fm-3m (225)

The structure in POSCAR format:
```
Y2HfPt
1.0
0.0000 3.6090 3.6090
3.6090 0.0000 3.6090
3.6090 3.6090 0.0000
Y Hf Pt
2 1 1
direct
0.2500 0.2500 0.2500
0.7500 0.7500 0.7500
0.0000 0.0000 0.0000
0.5000 0.5000 0.5000
```


Short version: (P) is the most stable of them.


(P)
An optimized crystal structure of YHfPt2. Source: Alexandria via LeMat-Bulk, functional PBE-GGA.

Output
Fermi-level density of states ... 0.51 states/eV/atom
Magnetic moment ... 0.000 μB per atom
SG ... P2_1/m (11)

The structure in POSCAR format:
```
YHfPt2
1.0
5.7280 0.0000 0.0000
0.0000 4.4922 0.0000
-2.3508 0.0000 6.4092
Y Hf Pt
2 2 4
direct
0.1793 0.2500 0.4033
0.8207 0.7500 0.5967
0.3608 0.7500 0.1066
0.6392 0.2500 0.8934
0.1171 0.2500 0.8925
0.3707 0.7500 0.7198
0.6293 0.2500 0.2802
0.8829 0.7500 0.1075
```


(Q)
An optimized crystal structure of YHfPt2. Source: Alexandria via LeMat-Bulk, functional PBE-GGA.

Output
Fermi-level density of states ... 0.66 states/eV/atom
Magnetic moment ... 0.000 μB per atom
SG ... I-42d (122)

The structure in POSCAR format:
```
YHfPt2
1.0
-3.6406 3.6406 3.5060
3.6406 -3.6406 3.5060
3.6406 3.6406 -3.5060
Y Hf Pt
2 2 4
direct
0.0000 0.0000 0.0000
0.7500 0.2500 0.5000
0.2500 0.7500 0.5000
0.5000 0.5000 0.0000
0.1552 0.6250 0.0302
0.3750 0.4052 0.5302
0.5948 0.1250 0.9698
0.8750 0.8448 0.4698
```


(R)
An optimized crystal structure of YHfPt2. Source: Alexandria via LeMat-Bulk, functional PBE-GGA.

Output
Fermi-level density of states ... 0.85 states/eV/atom
Magnetic moment ... 0.000 μB per atom
SG ... P4/mmm (123)

The structure in POSCAR format:
```
YHfPt2
1.0
3.3629 0.0000 0.0000
0.0000 3.3629 0.0000
0.0000 0.0000 7.1201
Y Hf Pt
1 1 2
direct
0.0000 0.0000 0.0000
0.0000 0.0000 0.5000
0.5000 0.5000 0.2872
0.5000 0.5000 0.7128
```


Short version: (P) is the most stable of them.